[1]
First-principles (PBE) data for a geometry-optimized YSn2Pt9 structure, as listed in Alexandria via LeMat-Bulk.

Geometry as CIF:
```
data_YSn2Pt9
_cell_length_a 4.0836
_cell_length_b 4.0836
_cell_length_c 12.2300
_cell_angle_alpha 90.00
_cell_angle_beta 90.00
_cell_angle_gamma 90.00
_space_group_name_H-M_alt 'P 4/m m m'
_space_group_IT_number 123
_space_group_name_Hall '-P 4 2'
loop_
_atom_site_label
_atom_site_type_symbol
_atom_site_fract_x
_atom_site_fract_y
_atom_site_fract_z
Y1 Y 0.0000 0.0000 0.0000
Sn1 Sn 0.0000 0.0000 0.3333
Pt1 Pt 0.0000 0.5000 0.1711
Pt2 Pt 0.0000 0.5000 0.5000
Pt3 Pt 0.5000 0.5000 0.0000
Pt4 Pt 0.5000 0.5000 0.3369
```


[2]
First-principles (PBE) data for a geometry-optimized YSn3Pt structure, as listed in Alexandria via LeMat-Bulk.

Geometry as CIF:
```
data_YSn3Pt
_cell_length_a 5.6500
_cell_length_b 5.6500
_cell_length_c 5.6500
_cell_angle_alpha 90.00
_cell_angle_beta 90.00
_cell_angle_gamma 90.00
_space_group_name_H-M_alt 'P m -3 m'
_space_group_IT_number 221
_space_group_name_Hall '-P 4 2 3'
loop_
_atom_site_label
_atom_site_type_symbol
_atom_site_fract_x
_atom_site_fract_y
_atom_site_fract_z
Y1 Y 0.0000 0.0000 0.0000
Sn1 Sn 0.0000 0.0000 0.5000
Pt1 Pt 0.5000 0.5000 0.5000
```


[3]
First-principles (PBE) data for a geometry-optimized YSn2Pt2 structure, as listed in Alexandria via LeMat-Bulk.

Geometry as CIF:
```
data_YSn2Pt2
_cell_length_a 7.4920
_cell_length_b 7.4920
_cell_length_c 3.8658
_cell_angle_alpha 90.00
_cell_angle_beta 90.00
_cell_angle_gamma 90.00
_space_group_name_H-M_alt 'P 4/m b m'
_space_group_IT_number 127
_space_group_name_Hall '-P 4 2ab'
loop_
_atom_site_label
_atom_site_type_symbol
_atom_site_fract_x
_atom_site_fract_y
_atom_site_fract_z
Y1 Y 0.0000 0.0000 0.0000
Sn1 Sn 0.1688 0.3312 0.5000
Pt1 Pt 0.1312 0.6312 0.0000
```


[4]
First-principles (PBE) data for a geometry-optimized YSn2Pt2 structure, as listed in Alexandria via LeMat-Bulk.

Geometry as CIF:
```
data_YSn2Pt2
_cell_length_a 4.2600
_cell_length_b 4.2600
_cell_length_c 12.2037
_cell_angle_alpha 90.00
_cell_angle_beta 90.00
_cell_angle_gamma 90.00
_space_group_name_H-M_alt 'I 4/m m m'
_space_group_IT_number 139
_space_group_name_Hall '-I 4 2'
loop_
_atom_site_label
_atom_site_type_symbol
_atom_site_fract_x
_atom_site_fract_y
_atom_site_fract_z
Y1 Y 0.0000 0.0000 0.0000
Sn1 Sn 0.0000 0.5000 0.2500
Pt1 Pt 0.0000 0.0000 0.3921
```


[5]
# Y3SnPt | Alexandria via LeMat-Bulk | PBE | relaxed
# Excess energy over the best structure of this formula in the dataset, eV per atom: 0.000
data_Y3SnPt
_cell_length_a 5.3893
_cell_length_b 5.3893
_cell_length_c 5.3893
_cell_angle_alpha 90.00
_cell_angle_beta 90.00
_cell_angle_gamma 90.00
_space_group_name_H-M_alt 'P m -3 m'
_space_group_IT_number 221
_space_group_name_Hall '-P 4 2 3'
loop_
_atom_site_label
_atom_site_type_symbol
_atom_site_fract_x
_atom_site_fract_y
_atom_site_fract_z
Y1 Y 0.0000 0.0000 0.5000
Sn1 Sn 0.5000 0.5000 0.5000
Pt1 Pt 0.0000 0.0000 0.0000


[6]
First-principles (PBE) data for a geometry-optimized YSn2Pt2 structure, as listed in Alexandria via LeMat-Bulk.

Geometry as CIF:
```
data_YSn2Pt2
_cell_length_a 4.6679
_cell_length_b 4.6679
_cell_length_c 10.4931
_cell_angle_alpha 90.00
_cell_angle_beta 90.00
_cell_angle_gamma 90.00
_space_group_name_H-M_alt 'I 4/m m m'
_space_group_IT_number 139
_space_group_name_Hall '-I 4 2'
loop_
_atom_site_label
_atom_site_type_symbol
_atom_site_fract_x
_atom_site_fract_y
_atom_site_fract_z
Y1 Y 0.0000 0.0000 0.0000
Sn1 Sn 0.0000 0.0000 0.3687
Pt1 Pt 0.0000 0.5000 0.2500
```


[7]
First-principles (PBE) data for a geometry-optimized YZrSnPt2 structure, as listed in Alexandria via LeMat-Bulk.

Geometry as CIF:
```
data_YZrSnPt2
_cell_length_a 4.9692
_cell_length_b 4.9692
_cell_length_c 5.5020
_cell_angle_alpha 90.00
_cell_angle_beta 90.00
_cell_angle_gamma 90.00
_space_group_name_H-M_alt 'P 4/m m m'
_space_group_IT_number 123
_space_group_name_Hall '-P 4 2'
loop_
_atom_site_label
_atom_site_type_symbol
_atom_site_fract_x
_atom_site_fract_y
_atom_site_fract_z
Y1 Y 0.0000 0.0000 0.0000
Zr1 Zr 0.0000 0.0000 0.5000
Sn1 Sn 0.5000 0.5000 0.0000
Pt1 Pt 0.0000 0.5000 0.5000
```


[8]
First-principles (PBE) data for a geometry-optimized YbSnPt structure, as listed in Alexandria via LeMat-Bulk.

Geometry as CIF:
```
data_YbSnPt
_cell_length_a 7.5151
_cell_length_b 7.5151
_cell_length_c 4.0732
_cell_angle_alpha 90.00
_cell_angle_beta 90.00
_cell_angle_gamma 120.00
_space_group_name_H-M_alt 'P -6 2 m'
_space_group_IT_number 189
_space_group_name_Hall 'P -6 -2'
loop_
_atom_site_label
_atom_site_type_symbol
_atom_site_fract_x
_atom_site_fract_y
_atom_site_fract_z
Yb1 Yb 0.0000 0.5927 0.0000
Sn1 Sn 0.0000 0.2594 0.5000
Pt1 Pt 0.0000 0.0000 0.0000
Pt2 Pt 0.3333 0.6667 0.5000
```


[9]
First-principles (PBE) data for a geometry-optimized ZnSn3Pt12 structure, as listed in Alexandria via LeMat-Bulk.

Geometry as CIF:
```
data_ZnSn3Pt12
_cell_length_a 4.0313
_cell_length_b 4.0313
_cell_length_c 16.0808
_cell_angle_alpha 90.00
_cell_angle_beta 90.00
_cell_angle_gamma 90.00
_space_group_name_H-M_alt 'P 4/m m m'
_space_group_IT_number 123
_space_group_name_Hall '-P 4 2'
loop_
_atom_site_label
_atom_site_type_symbol
_atom_site_fract_x
_atom_site_fract_y
_atom_site_fract_z
Zn1 Zn 0.0000 0.0000 0.0000
Sn1 Sn 0.0000 0.0000 0.2420
Sn2 Sn 0.0000 0.0000 0.5000
Pt1 Pt 0.0000 0.5000 0.1181
Pt2 Pt 0.0000 0.5000 0.3730
Pt3 Pt 0.5000 0.5000 0.0000
Pt4 Pt 0.5000 0.5000 0.2475
Pt5 Pt 0.5000 0.5000 0.5000
```


[10]
First-principles (PBE) data for a geometry-optimized ZnSnPt4 structure, as listed in Alexandria via LeMat-Bulk.

Geometry as CIF:
```
data_ZnSnPt4
_cell_length_a 3.6598
_cell_length_b 4.2308
_cell_length_c 7.0671
_cell_angle_alpha 90.00
_cell_angle_beta 90.18
_cell_angle_gamma 90.00
_space_group_name_H-M_alt 'P 1 2/m 1'
_space_group_IT_number 10
loop_
_space_group_symop_operation_xyz
'x,y,z'
'-x,-y,-z'
'-x,y,-z'
'x,-y,z'
loop_
_atom_site_label
_atom_site_type_symbol
_atom_site_fract_x
_atom_site_fract_y
_atom_site_fract_z
Zn1 Zn 0.0000 0.0000 0.0000
Sn1 Sn 0.5000 0.5000 0.5000
Pt1 Pt 0.9998 0.5000 0.2174
Pt2 Pt 0.4994 0.0000 0.7431
```


[11]
# Zn3SnPt | Alexandria via LeMat-Bulk | PBE | relaxed
# Excess energy over the best structure of this formula in the dataset, eV per atom: 0.000
data_Zn3SnPt
_cell_length_a 4.8363
_cell_length_b 4.8363
_cell_length_c 4.8363
_cell_angle_alpha 90.00
_cell_angle_beta 90.00
_cell_angle_gamma 90.00
_space_group_name_H-M_alt 'P m -3 m'
_space_group_IT_number 221
_space_group_name_Hall '-P 4 2 3'
loop_
_atom_site_label
_atom_site_type_symbol
_atom_site_fract_x
_atom_site_fract_y
_atom_site_fract_z
Zn1 Zn 0.0000 0.0000 0.5000
Sn1 Sn 0.5000 0.5000 0.5000
Pt1 Pt 0.0000 0.0000 0.0000


Calculated total energy for every record listed, in sequence, given in eV/cell: -76.02 -19.34 -59.27 -60.09 -32.21 -59.50 -29.06 -43.50 -91.98 -31.08 -13.75.
Energy relative to the elements for every record listed, in sequence, given in eV per atom: -0.599 1.035 -0.617 -0.698 -0.556 -0.640 0.407 -0.977 -0.388 -0.274 0.024.
Calculated density for every record listed, in sequence, given in g cm⁻³: 17.0 5.9 11.0 10.7 6.2 10.4 8.4 12.2 17.6 14.6 7.5.